Record 1
BaScAl2: optimized geometry, PBE-GGA.

Output
E_tot   -32.20 eV per cell
Energy of formation   -89.8 meV/atom
Energy relative to the lowest polymorph listed for this composition   124 meV per atom
D(E_F)   0.88 states/eV per atom
Crystal system   monoclinic
Mass density   3.17 g/cm3

Lattice parameters (Å, degrees): 8.584 4.632 6.772 90.00 113.40 90.00
Fractional coordinates of all 8 atoms:
Ba 0.000 0.000 0.000
Ba 0.500 0.500 0.000
Sc 0.000 0.500 0.500
Sc 0.500 0.000 0.500
Al 0.210 0.000 0.601
Al 0.290 0.500 0.399
Al 0.710 0.500 0.601
Al 0.790 0.000 0.399

***

Record 2
BaScAl2: optimized geometry, PBE-GGA.

Output
E_tot   -29.70 eV per cell
Energy of formation   222.2 meV/atom
Energy relative to the lowest polymorph listed for this composition   436 meV per atom
D(E_F)   1.36 states/eV per atom
Crystal system   tetragonal
Mass density   3.74 g/cm3

Lattice parameters (Å, degrees): 4.743 4.743 9.324 90.00 90.00 90.00
Fractional coordinates of all 8 atoms:
Ba 0.000 0.000 0.000
Ba 0.500 0.500 0.500
Sc 0.000 0.500 0.750
Sc 0.500 0.000 0.250
Al 0.000 0.000 0.500
Al 0.000 0.500 0.250
Al 0.500 0.000 0.750
Al 0.500 0.500 0.000

***

Record 3
Ba2ScAl: optimized geometry, PBE-GGA.

Output
E_tot   -37.20 eV per cell
Energy of formation   380.2 meV/atom
D(E_F)   1.38 states/eV per atom
Crystal system   trigonal
Mass density   3.80 g/cm3

Lattice parameters (Å, degrees): 3.876 3.876 34.875 90.00 90.00 120.00
Fractional coordinates of all 12 atoms:
Ba 0.000 0.000 0.245
Ba 0.000 0.000 0.755
Ba 0.333 0.667 0.422
Ba 0.333 0.667 0.911
Ba 0.667 0.333 0.089
Ba 0.667 0.333 0.578
Sc 0.000 0.000 0.000
Sc 0.333 0.667 0.667
Sc 0.667 0.333 0.333
Al 0.000 0.000 0.500
Al 0.333 0.667 0.167
Al 0.667 0.333 0.833

***

Record 4
BaScAl2: optimized geometry, PBE-GGA.

Output
E_tot   -45.68 eV per cell
Energy of formation   128.3 meV/atom
Energy relative to the lowest polymorph listed for this composition   342 meV per atom
D(E_F)   0.83 states/eV per atom
Crystal system   trigonal
Mass density   3.70 g/cm3

Lattice parameters (Å, degrees): 3.449 3.449 30.886 90.00 90.00 120.00
Fractional coordinates of all 12 atoms:
Ba 0.000 0.000 0.000
Ba 0.333 0.667 0.667
Ba 0.667 0.333 0.333
Sc 0.000 0.000 0.500
Sc 0.333 0.667 0.167
Sc 0.667 0.333 0.833
Al 0.000 0.000 0.239
Al 0.000 0.000 0.761
Al 0.333 0.667 0.428
Al 0.333 0.667 0.906
Al 0.667 0.333 0.094
Al 0.667 0.333 0.572

***

Record 5
Ba2ScAl: optimized geometry, PBE-GGA.

Output
E_tot   -25.79 eV per cell
Energy of formation   256.1 meV/atom
D(E_F)   1.27 states/eV per atom
Crystal system   tetragonal
Mass density   4.23 g/cm3

Lattice parameters (Å, degrees): 5.459 5.459 9.138 90.00 90.00 90.00
Fractional coordinates of all 8 atoms:
Ba 0.000 0.000 0.000
Ba 0.000 0.500 0.250
Ba 0.500 0.000 0.750
Ba 0.500 0.500 0.500
Sc 0.000 0.500 0.750
Sc 0.500 0.000 0.250
Al 0.000 0.000 0.500
Al 0.500 0.500 0.000

***

Record 6
BaScAl2: optimized geometry, PBE-GGA.

Output
E_tot   -15.35 eV per cell
Energy of formation   97.8 meV/atom
Energy relative to the lowest polymorph listed for this composition   311 meV per atom
D(E_F)   1.16 states/eV per atom
Crystal system   tetragonal
Mass density   3.71 g/cm3

Lattice parameters (Å, degrees): 5.475 5.475 3.531 90.00 90.00 90.00
Fractional coordinates of all 4 atoms:
Ba 0.000 0.000 0.000
Sc 0.500 0.500 0.000
Al 0.000 0.500 0.500
Al 0.500 0.000 0.500

***

Record 7
BaScAl2: optimized geometry, PBE-GGA.

Output
E_tot   -31.87 eV per cell
Energy of formation   -49.4 meV/atom
Energy relative to the lowest polymorph listed for this composition   164 meV per atom
D(E_F)   0.80 states/eV per atom
Crystal system   orthorhombic
Mass density   3.26 g/cm3

Lattice parameters (Å, degrees): 4.082 4.600 12.828 90.00 90.00 90.00
Fractional coordinates of all 8 atoms:
Ba 0.000 0.000 0.000
Ba 0.500 0.500 0.500
Sc 0.000 0.500 0.758
Sc 0.500 0.000 0.258
Al 0.000 0.000 0.626
Al 0.000 0.500 0.254
Al 0.500 0.000 0.754
Al 0.500 0.500 0.126

***

Record 8
BaScAl4: optimized geometry, PBE-GGA.

Output
E_tot   -24.38 eV per cell
Energy of formation   -191.8 meV/atom
D(E_F)   0.46 states/eV per atom
Crystal system   cubic
Mass density   3.66 g/cm3

Lattice parameters (Å, degrees): 5.708 5.708 5.708 60.00 60.00 60.00
Fractional coordinates of all 6 atoms:
Ba 0.000 0.000 0.000
Sc 0.750 0.750 0.750
Al 0.376 0.376 0.376
Al 0.376 0.376 0.872
Al 0.376 0.872 0.376
Al 0.872 0.376 0.376